[1]
Pu3Re3Si8: optimized geometry, PBE. Values from VASP.

calculated volume = 16.54 Å³ per atom
VASP energy = -9.15 eV/atom
M_tot = 4.07 μB per cell
space-group type = Immm

```
&SYSTEM
  ibrav = 0, nat = 14, ntyp = 3
/
ATOMIC_SPECIES
Pu 244.00 Pu.upf
Re 186.21 Re.upf
Si 28.09 Si.upf
CELL_PARAMETERS angstrom
4.1469 0.0000 0.0000
2.0735 7.5175 -0.3894
2.0735 1.6720 7.3396
ATOMIC_POSITIONS angstrom
Pu 4.1469 4.5947 3.4751
Pu 4.1469 1.7056 1.2900
Pu 4.1469 7.4839 5.6602
Re 2.0735 0.0000 0.0000
Re 2.0735 6.2498 1.2867
Re 2.0735 2.9397 5.6634
Si 4.1469 1.7827 4.7674
Si 4.1469 7.4068 2.1827
Si 4.1469 5.0727 0.4174
Si 4.1469 4.1168 6.5328
Si 6.2204 6.8676 3.6261
Si 2.0735 2.3219 3.3240
Si 6.2204 5.3589 5.6210
Si 2.0735 3.8306 1.3292
```

***

[2]
PuRe4Si4: optimized geometry, PBE. Values from VASP.

calculated volume = 17.00 Å³ per atom
VASP energy = -9.73 eV/atom
M_tot = 8.98 μB per cell
space-group type = P4_2/n

```
&SYSTEM
  ibrav = 0, nat = 18, ntyp = 3
/
ATOMIC_SPECIES
Pu 244.00 Pu.upf
Re 186.21 Re.upf
Si 28.09 Si.upf
CELL_PARAMETERS angstrom
4.6986 0.0000 0.0000
0.0000 8.0701 0.0000
0.0000 0.0000 8.0701
ATOMIC_POSITIONS angstrom
Pu 0.0000 0.0000 0.0000
Pu 2.3493 4.0351 4.0351
Re 1.9206 3.0692 7.0306
Re 4.2699 5.0746 7.1043
Re 1.9206 5.0009 1.0396
Re 0.4287 0.9659 5.0746
Re 2.7781 7.0306 5.0009
Re 0.4287 7.1043 2.9955
Re 4.2699 2.9955 0.9659
Re 2.7781 1.0396 3.0692
Si 2.7552 6.8224 2.4134
Si 2.7552 1.2477 5.6567
Si 0.4058 6.4485 5.2827
Si 4.2928 2.7874 6.4485
Si 4.2928 5.2827 1.6216
Si 1.9435 2.4134 1.2477
Si 1.9435 5.6567 6.8224
Si 0.4058 1.6216 2.7874
```

***

[3]
Pu2Re3Si: optimized geometry, PBE. Values from VASP.

calculated volume = 17.98 Å³ per atom
VASP energy = -12.04 eV/atom
M_tot = 9.74 μB per cell
space-group type = C2/m

```
&SYSTEM
  ibrav = 0, nat = 6, ntyp = 3
/
ATOMIC_SPECIES
Pu 244.00 Pu.upf
Re 186.21 Re.upf
Si 28.09 Si.upf
CELL_PARAMETERS angstrom
4.7285 -0.1382 -2.4805
-3.0060 4.4093 -0.2316
-0.2048 0.1275 5.3369
ATOMIC_POSITIONS angstrom
Pu 2.4027 1.5740 -1.2613
Pu -0.8849 2.8245 3.8861
Re 0.7589 2.1993 1.3124
Re -0.1024 0.0637 2.6684
Re 2.2619 -0.0054 1.4282
Si 0.0000 0.0000 0.0000
```

***

[4]
PuRe2Si2: optimized geometry, PBE. Values from VASP.

calculated volume = 17.35 Å³ per atom
VASP energy = -10.40 eV/atom
M_tot = 9.90 μB per cell
space-group type = Imma

```
&SYSTEM
  ibrav = 0, nat = 10, ntyp = 3
/
ATOMIC_SPECIES
Pu 244.00 Pu.upf
Re 186.21 Re.upf
Si 28.09 Si.upf
CELL_PARAMETERS angstrom
3.9770 0.0000 -0.7639
-0.1519 4.0267 -0.7907
0.0177 0.0329 10.8270
ATOMIC_POSITIONS angstrom
Pu 3.2432 2.3770 6.1506
Pu 0.5996 1.6826 3.1219
Re 2.1169 1.1831 0.2866
Re 3.8089 0.8829 9.0960
Re 1.7259 2.8765 8.9858
Re 0.0339 3.1767 0.1765
Si 2.7342 3.9313 3.5007
Si 1.1086 0.1283 5.7717
Si 1.5443 0.5902 8.0405
Si 2.2985 3.4694 1.2320
```

***

[5]
PuReSi3: optimized geometry, PBE. Values from VASP.

calculated volume = 17.62 Å³ per atom
VASP energy = -8.89 eV/atom
M_tot = 4.92 μB per cell
space-group type = I4mm

```
&SYSTEM
  ibrav = 0, nat = 5, ntyp = 3
/
ATOMIC_SPECIES
Pu 244.00 Pu.upf
Re 186.21 Re.upf
Si 28.09 Si.upf
CELL_PARAMETERS angstrom
-0.6558 -3.4981 -2.1075
3.5139 0.6044 -2.0966
1.1612 -1.1954 5.6818
ATOMIC_POSITIONS angstrom
Pu 3.9608 -4.0295 1.3967
Re 2.2049 -2.2383 -1.0299
Si 3.1372 -1.1058 0.8592
Si 1.0523 -3.1570 0.8537
Si 2.1703 -2.2139 2.9993
```

***

[6]
PuReSi2Tc: optimized geometry, PBE. Values from VASP.

calculated volume = 17.10 Å³ per atom
VASP energy = -9.99 eV/atom
M_tot = 5.24 μB per cell
space-group type = I-4m2

```
&SYSTEM
  ibrav = 0, nat = 5, ntyp = 4
/
ATOMIC_SPECIES
Pu 244.00 Pu.upf
Re 186.21 Re.upf
Si 28.09 Si.upf
Tc 98.00 Tc.upf
CELL_PARAMETERS angstrom
4.0325 0.0000 0.0000
0.0000 4.0325 0.0000
-2.0163 -2.0163 5.2567
ATOMIC_POSITIONS angstrom
Pu 0.0000 0.0000 0.0000
Re 0.0000 2.0163 2.6283
Si 2.0163 2.0163 1.2175
Si 0.0000 0.0000 4.0392
Tc 2.0163 0.0000 2.6283
```

***

[7]
SmPu2Re: optimized geometry, PBE. Values from VASP.

calculated volume = 24.57 Å³ per atom
VASP energy = -11.25 eV/atom
M_tot = 10.34 μB per cell
space-group type = P4/mmm
E_form = 205 meV per atom

```
&SYSTEM
  ibrav = 0, nat = 4, ntyp = 3
/
ATOMIC_SPECIES
Re 186.21 Re.upf
Sm 150.36 Sm.upf
Pu 244.00 Pu.upf
CELL_PARAMETERS angstrom
-1.4533 1.9173 2.2460
-2.7897 -1.7123 -0.3434
2.6693 -5.6650 6.5631
ATOMIC_POSITIONS angstrom
Re -2.1215 0.1025 0.9513
Sm -0.7869 -2.7300 4.2329
Pu 2.1470 -4.5565 5.2789
Pu 0.5223 -1.1085 1.2842
```

***

[8]
SmPu2Re9: optimized geometry, PBE. Values from VASP.

calculated volume = 18.38 Å³ per atom
VASP energy = -12.03 eV/atom
M_tot = 9.81 μB per cell
space-group type = R-3m
E_form = 87 meV per atom

```
&SYSTEM
  ibrav = 0, nat = 12, ntyp = 3
/
ATOMIC_SPECIES
Sm 150.36 Sm.upf
Pu 244.00 Pu.upf
Re 186.21 Re.upf
CELL_PARAMETERS angstrom
5.1089 0.0000 1.5205
2.3282 4.5475 1.5205
-0.0397 -0.0243 9.4766
ATOMIC_POSITIONS angstrom
Sm 0.0000 0.0000 0.0000
Pu 6.3389 3.8761 6.7307
Pu 1.0584 0.6472 5.7869
Re 4.9440 3.0231 2.0744
Re 2.4533 1.5001 10.4431
Re 3.6987 2.2616 6.2588
Re 3.0715 1.8782 3.6286
Re 5.6619 1.8782 4.3996
Re 4.2520 4.1839 4.3996
Re 4.3258 2.6451 8.8889
Re 3.1453 0.3394 8.1180
Re 1.7354 2.6451 8.1180
```

***

[9]
SmPuRe4: optimized geometry, PBE. Values from VASP.

calculated volume = 19.01 Å³ per atom
VASP energy = -11.47 eV/atom
M_tot = 6.20 μB per cell
space-group type = F-43m
E_form = 1 meV per atom

```
&SYSTEM
  ibrav = 0, nat = 6, ntyp = 3
/
ATOMIC_SPECIES
Re 186.21 Re.upf
Sm 150.36 Sm.upf
Pu 244.00 Pu.upf
CELL_PARAMETERS angstrom
5.4433 0.0000 0.0000
2.7216 4.7140 0.0000
2.7216 1.5713 4.4444
ATOMIC_POSITIONS angstrom
Re 5.4433 3.1427 0.5561
Re 5.4433 1.5718 2.7776
Re 6.8037 3.9281 2.7776
Re 4.0829 3.9281 2.7776
Sm 2.7216 1.5713 1.1111
Pu 0.0000 0.0000 0.0000
```

***

[10]
TbPuRe4: optimized geometry, PBE. Values from VASP.

calculated volume = 18.79 Å³ per atom
VASP energy = -11.52 eV/atom
M_tot = 6.17 μB per cell
space-group type = F-43m
E_form = -57 meV per atom

```
&SYSTEM
  ibrav = 0, nat = 6, ntyp = 3
/
ATOMIC_SPECIES
Re 186.21 Re.upf
Tb 158.93 Tb.upf
Pu 244.00 Pu.upf
CELL_PARAMETERS angstrom
-1.0773 -5.1346 -1.3697
2.7587 -4.0575 2.3080
-2.4664 -3.2887 3.5358
ATOMIC_POSITIONS angstrom
Re 0.7416 -6.1562 1.0294
Re -1.8688 -5.7722 1.6428
Re -0.4906 -7.7992 2.7958
Re 0.0476 -5.2341 3.4801
Tb -0.1963 -3.1202 1.1185
Pu 0.0000 0.0000 0.0000
```

***

[11]
TbPuRe: optimized geometry, PBE. Values from VASP.

calculated volume = 25.46 Å³ per atom
VASP energy = -10.09 eV/atom
M_tot = 4.77 μB per cell
space-group type = R3m
E_form = 383 meV per atom

```
&SYSTEM
  ibrav = 0, nat = 3, ntyp = 3
/
ATOMIC_SPECIES
Pu 244.00 Pu.upf
Re 186.21 Re.upf
Tb 158.93 Tb.upf
CELL_PARAMETERS angstrom
4.7674 0.0000 0.0000
2.3837 4.1287 0.0000
2.3837 1.3762 3.8805
ATOMIC_POSITIONS angstrom
Pu 4.7674 2.7525 0.6839
Re 4.7674 2.7525 3.5932
Tb 2.3837 1.3762 2.6280
```

***

[12]
TbPuRe: optimized geometry, PBE. Values from VASP.

calculated volume = 23.36 Å³ per atom
VASP energy = -10.29 eV/atom
M_tot = 5.03 μB per cell
space-group type = I4mm
E_form = 182 meV per atom

```
&SYSTEM
  ibrav = 0, nat = 3, ntyp = 3
/
ATOMIC_SPECIES
Re 186.21 Re.upf
Tb 158.93 Tb.upf
Pu 244.00 Pu.upf
CELL_PARAMETERS angstrom
-2.9355 1.1792 1.1342
-1.3976 -3.0185 -0.4791
3.7373 -0.7241 5.4468
ATOMIC_POSITIONS angstrom
Re -1.6253 -1.4860 2.3172
Tb 0.0790 -0.0826 0.2903
Pu 0.9505 -0.9947 3.4944
```

***

> Look up the M_tot of the eleventh one.

4.77 μB per cell

***

Please write out number 7 again, unchanged.
SmPu2Re: optimized geometry, PBE. Values from VASP.

calculated volume = 24.57 Å³ per atom
VASP energy = -11.25 eV/atom
M_tot = 10.34 μB per cell
space-group type = P4/mmm
E_form = 205 meV per atom

```
&SYSTEM
  ibrav = 0, nat = 4, ntyp = 3
/
ATOMIC_SPECIES
Re 186.21 Re.upf
Sm 150.36 Sm.upf
Pu 244.00 Pu.upf
CELL_PARAMETERS angstrom
-1.4533 1.9173 2.2460
-2.7897 -1.7123 -0.3434
2.6693 -5.6650 6.5631
ATOMIC_POSITIONS angstrom
Re -2.1215 0.1025 0.9513
Sm -0.7869 -2.7300 4.2329
Pu 2.1470 -4.5565 5.2789
Pu 0.5223 -1.1085 1.2842
```

***

Repeat the eighth record exactly.
SmPu2Re9: optimized geometry, PBE. Values from VASP.

calculated volume = 18.38 Å³ per atom
VASP energy = -12.03 eV/atom
M_tot = 9.81 μB per cell
space-group type = R-3m
E_form = 87 meV per atom

```
&SYSTEM
  ibrav = 0, nat = 12, ntyp = 3
/
ATOMIC_SPECIES
Sm 150.36 Sm.upf
Pu 244.00 Pu.upf
Re 186.21 Re.upf
CELL_PARAMETERS angstrom
5.1089 0.0000 1.5205
2.3282 4.5475 1.5205
-0.0397 -0.0243 9.4766
ATOMIC_POSITIONS angstrom
Sm 0.0000 0.0000 0.0000
Pu 6.3389 3.8761 6.7307
Pu 1.0584 0.6472 5.7869
Re 4.9440 3.0231 2.0744
Re 2.4533 1.5001 10.4431
Re 3.6987 2.2616 6.2588
Re 3.0715 1.8782 3.6286
Re 5.6619 1.8782 4.3996
Re 4.2520 4.1839 4.3996
Re 4.3258 2.6451 8.8889
Re 3.1453 0.3394 8.1180
Re 1.7354 2.6451 8.1180
```

***

> The lowest calculated volume belongs to which entry?

Pu3Re3Si8